Record 1
The following is a DFT calculation (PBEsol) of a geometry-optimized DyAlO3 structure.

Computed properties:
**Final energy**: -8.38 eV per atom
**Mass density**: 7.8 g cm⁻³
**E_form (uncorrected)**: -3420 meV per atom

Cell: 5.159 5.317 7.359 Å, 90.00 90.00 90.00°
Atoms (fractional coordinates):
Dy 0.013 0.945 0.750
Dy 0.487 0.445 0.750
Dy 0.513 0.555 0.250
Dy 0.987 0.055 0.250
Al 0.000 0.500 0.000
Al 0.000 0.500 0.500
Al 0.500 0.000 0.000
Al 0.500 0.000 0.500
O 0.087 0.478 0.250
O 0.206 0.206 0.546
O 0.206 0.206 0.954
O 0.294 0.706 0.546
O 0.294 0.706 0.954
O 0.413 0.978 0.250
O 0.587 0.022 0.750
O 0.706 0.294 0.046
O 0.706 0.294 0.454
O 0.794 0.794 0.046
O 0.794 0.794 0.454
O 0.913 0.522 0.750

***

Record 2
The following is a DFT calculation (PBEsol) of a geometry-optimized InAg2Te structure.

Computed properties:
**Final energy**: -3.20 eV per atom
**Energy relative to the lowest polymorph listed for this composition**: 0.08 eV/f.u.
**Mass density**: 8.8 g cm⁻³
**E_form (uncorrected)**: 79 meV per atom

Cell: 4.127 4.446 4.721 Å, 90.00 90.00 90.00°
Atoms (fractional coordinates):
Te 0.500 0.000 0.500
Ag 0.000 0.000 0.000
Ag 0.000 0.500 0.500
In 0.500 0.500 0.000